11
Lattice="-6.087 -1.555 0.856 2.227 -4.167 8.125 -2.221 9.112 0.613" Properties=species:S:1:pos:R:3 comment="CsLa2I8, relaxed, DFT PBE" formation_energy_uncorrected_ev_per_fu=-15.1 m_tot_mub_per_cell=0.00 dos_at_fermi_per_ev_cell=1.93 pbc="T T T"
I -6.666 4.238 6.917
I -1.525 2.089 4.595
I 0.584 -0.848 2.678
I -4.557 1.301 4.999
I -1.984 -1.459 6.582
I -5.469 0.666 8.937
I -4.098 4.849 3.013
I -0.613 2.724 0.657
La 0.872 -0.122 5.837
La -0.866 5.067 2.902
Cs -3.044 -0.778 0.428